VASP calculation (GGA-PBE) on a relaxed structure of Ba2YCrCu.

Output
- calculated formation energy (kcal/mol of atoms) = 13.91
- D(E_F) (states/eV per atom) = 0.958
- total energy (eV per atom) = -4.203

Cell lengths 6.154, 6.154, 4.965 Å; angles 90.00, 90.00, 90.00 degrees
Element x y z (fractional)
Ba 0.000 0.500 0.000
Ba 0.500 0.000 0.000
Y 0.000 0.000 0.500
Cr 0.500 0.500 0.500
Cu 0.500 0.500 0.000